No. 1
The following is a GGA-PBE calculation of a relaxed structure of Tm8Co2Ag, from the Alexandria database.

The spin magnetization is 0.00 μB per formula unit. The value obtained for the energy of formation is -0.099 eV/atom.

The structure belongs to space group C2/m (No. 12); the cell edges are 8.376, 12.620 and 5.382 Å and the angles 90.00°, 104.59° and 90.00°. The inequivalent atoms are Tm at (0.000, 0.242, 0.000), Tm at (0.120, 0.500, 0.805), Tm at (0.200, 0.132, 0.585), Co at (0.000, 0.308, 0.500) and Ag at (0.000, 0.000, 0.000).



No. 2
The following is a GGA-PBE calculation of a relaxed structure of Fe2CoSe, from the Alexandria database.

The spin magnetization is 6.53 μB per formula unit. The value obtained for the uncorrected formation energy is 1.27 eV per formula unit.

The structure belongs to space group R-3m (No. 166, hexagonal axes); the cell edges are 2.8700, 2.8700 and 22.4108 Å and the angles 90.00°, 90.00° and 120.00°. The inequivalent atoms are Fe at (0.0000, 0.0000, 0.2472), Co at (0.0000, 0.0000, 0.5000) and Se at (0.0000, 0.0000, 0.0000).



No. 3
The following is a GGA-PBE calculation of a relaxed structure of RePBr2, from the Alexandria database.

The spin magnetization is 0.00 μB per formula unit. For the distance to the lowest polymorph of the same formula, the calculation gives 369 meV per atom. The value obtained for the uncorrected formation energy is 1.47 eV per formula unit.

The structure belongs to space group P4mm (No. 99); the cell edges are 3.015, 3.015 and 9.685 Å and the angles 90.00°, 90.00° and 90.00°. The inequivalent atoms are Re at (0.000, 0.000, 0.000), P at (0.500, 0.500, 0.864), Br at (0.000, 0.000, 0.543) and Br at (0.500, 0.500, 0.189).



No. 4
The following is a GGA-PBE calculation of a relaxed structure of TiFeI, from the Alexandria database.

The spin magnetization is 1.50 μB per formula unit. The value obtained for the uncorrected formation energy is 0.93 eV per formula unit.

The structure belongs to space group P-6m2 (No. 187); the cell edges are 3.5230, 3.5230 and 11.2817 Å and the angles 90.00°, 90.00° and 120.00°. The inequivalent atoms are Ti at (0.0000, 0.0000, 0.1221), Fe at (0.0000, 0.0000, 0.5000), Fe at (0.3333, 0.6667, 0.0000) and I at (0.3333, 0.6667, 0.3249).



No. 5
The following is a GGA-PBE calculation of a relaxed structure of La2TmCuSe5, from the Alexandria database.

The spin magnetization is 0.00 μB per formula unit. The value obtained for the uncorrected formation energy is -15.20 eV per formula unit.

The structure belongs to space group Cmc2_1 (No. 36); the cell edges are 4.123, 17.716 and 12.243 Å and the angles 90.00°, 90.00° and 90.00°. The inequivalent atoms are La at (0.000, 0.111, 0.000), La at (0.000, 0.122, 0.625), Tm at (0.000, 0.193, 0.324), Cu at (0.000, 0.436, 0.764), Se at (0.000, 0.042, 0.368), Se at (0.000, 0.290, 0.983), Se at (0.000, 0.310, 0.664), Se at (0.000, 0.354, 0.315) and Se at (0.000, 0.499, 0.090).



No. 6
The following is a GGA-PBE calculation of a relaxed structure of NbTeF, from the Alexandria database.

The spin magnetization is 0.00 μB per formula unit. The value obtained for the uncorrected formation energy is -4.13 eV per formula unit.

The structure belongs to space group P-1 (No. 2); the cell edges are 3.327, 5.550 and 7.382 Å and the angles 104.03°, 90.11° and 90.03°. The inequivalent atoms are Nb at (0.250, 0.208, 0.095), Te at (0.251, 0.773, 0.212) and F at (0.249, 0.691, 0.706).



| no. | DFT total energy (eV per cell) | ρ (Mg/m³) |
| --- | --- | --- |
| 1 | -107.8 | 9.51 |
| 2 | -78.7 | 7.78 |
| 3 | -19.7 | 7.11 |
| 4 | -34.0 | 6.32 |
| 5 | -204.2 | 6.72 |
| 6 | -38.4 | 6.01 |